Entry 1:
# GGA+U Mn3Br5O, relaxed
data_Mn3Br5O
_chemical_formula_sum 'Mn12 Br20 O4'
_space_group_name_H-M_alt 'C 1 2/m 1'
_space_group_IT_number 12
_cell_length_a 13.280
_cell_length_b 10.991
_cell_length_c 7.811
_cell_angle_alpha 90.00
_cell_angle_beta 111.80
_cell_angle_gamma 90.00
loop_
_space_group_symop_operation_xyz
'x,y,z'
'-x,-y,-z'
'-x,y,-z'
'x,-y,z'
'x+1/2,y+1/2,z'
'-x+1/2,-y+1/2,-z'
'-x+1/2,y+1/2,-z'
'x+1/2,-y+1/2,z'
loop_
_atom_site_label
_atom_site_type_symbol
_atom_site_fract_x
_atom_site_fract_y
_atom_site_fract_z
Mn1 Mn 0.000 0.000 0.000
Mn2 Mn 0.000 0.000 0.500
Mn3 Mn 0.151 0.500 0.151
Mn4 Mn 0.198 0.000 0.399
Br1 Br 0.000 0.331 0.000
Br2 Br 0.104 0.500 0.451
Br3 Br 0.181 0.161 0.641
Br4 Br 0.212 0.000 0.078
O1 O 0.044 0.000 0.273
# Calculated total energy in eV/atom: -4.909
# Volume in Å³ per cell: 1058.57

=====

Entry 2:
# GGA+U Mn7Br12O, relaxed
data_Mn7Br12O
_chemical_formula_sum 'Mn21 Br36 O3'
_space_group_name_H-M_alt 'R -3'
_space_group_IT_number 148
_space_group_name_Hall '-R 3'
_cell_length_a 14.0528
_cell_length_b 14.0528
_cell_length_c 9.5400
_cell_angle_alpha 90.00
_cell_angle_beta 90.00
_cell_angle_gamma 120.00
loop_
_atom_site_label
_atom_site_type_symbol
_atom_site_fract_x
_atom_site_fract_y
_atom_site_fract_z
Mn1 Mn 0.0000 0.0000 0.0000
Mn2 Mn 0.0462 0.8859 0.3569
Br1 Br 0.0354 0.4468 0.1639
Br2 Br 0.0524 0.8812 0.8232
O1 O 0.0000 0.0000 0.5000
# Calculated total energy in eV/atom: -4.851
# Volume in Å³ per cell: 1631.57

=====

Entry 3:
# GGA+U Mn2Br2O, relaxed
data_Mn2Br2O
_chemical_formula_sum 'Mn8 Br8 O4'
_space_group_name_H-M_alt 'C 1 2/m 1'
_space_group_IT_number 12
_cell_length_a 12.849
_cell_length_b 5.902
_cell_length_c 7.349
_cell_angle_alpha 90.00
_cell_angle_beta 124.54
_cell_angle_gamma 90.00
loop_
_space_group_symop_operation_xyz
'x,y,z'
'-x,-y,-z'
'-x,y,-z'
'x,-y,z'
'x+1/2,y+1/2,z'
'-x+1/2,-y+1/2,-z'
'-x+1/2,y+1/2,-z'
'x+1/2,-y+1/2,z'
loop_
_atom_site_label
_atom_site_type_symbol
_atom_site_fract_x
_atom_site_fract_y
_atom_site_fract_z
Mn1 Mn 0.002 0.000 0.300
Mn2 Mn 0.186 0.500 0.182
Br1 Br 0.001 0.500 0.250
Br2 Br 0.171 0.000 0.169
O1 O 0.133 0.000 0.634
# Calculated total energy in eV/atom: -5.763
# Volume in Å³ per cell: 459.01

=====

Entry 4:
# GGA+U Mn2BrO3, relaxed
data_Mn2BrO3
_chemical_formula_sum 'Mn8 Br4 O12'
_space_group_name_H-M_alt 'P n m a'
_space_group_IT_number 62
_cell_length_a 5.985
_cell_length_b 6.746
_cell_length_c 8.627
_cell_angle_alpha 90.00
_cell_angle_beta 90.00
_cell_angle_gamma 90.00
loop_
_space_group_symop_operation_xyz
'x,y,z'
'-x,-y,-z'
'-x+1/2,-y,z+1/2'
'x+1/2,y,-z+1/2'
'x+1/2,-y+1/2,-z+1/2'
'-x+1/2,y+1/2,z+1/2'
'-x,y+1/2,-z'
'x,-y+1/2,z'
loop_
_atom_site_label
_atom_site_type_symbol
_atom_site_fract_x
_atom_site_fract_y
_atom_site_fract_z
Mn1 Mn 0.000 0.000 0.000
Mn2 Mn 0.181 0.250 0.252
Br1 Br 0.146 0.250 0.543
O1 O 0.065 0.562 0.779
O2 O 0.172 0.250 0.024
# Calculated total energy in eV/atom: -6.404
# Volume in Å³ per cell: 348.30

=====

Entry 5:
# GGA+U Mn3Br2O2, relaxed
data_Mn3Br2O2
_chemical_formula_sum 'Mn6 Br4 O4'
_space_group_name_H-M_alt 'C 1 2/m 1'
_space_group_IT_number 12
_cell_length_a 12.787
_cell_length_b 3.712
_cell_length_c 6.418
_cell_angle_alpha 90.00
_cell_angle_beta 119.94
_cell_angle_gamma 90.00
loop_
_space_group_symop_operation_xyz
'x,y,z'
'-x,-y,-z'
'-x,y,-z'
'x,-y,z'
'x+1/2,y+1/2,z'
'-x+1/2,-y+1/2,-z'
'-x+1/2,y+1/2,-z'
'x+1/2,-y+1/2,z'
loop_
_atom_site_label
_atom_site_type_symbol
_atom_site_fract_x
_atom_site_fract_y
_atom_site_fract_z
Mn1 Mn 0.000 0.000 0.000
Mn2 Mn 0.247 0.000 0.807
Br1 Br 0.101 0.500 0.392
O1 O 0.166 0.000 0.027
# Calculated total energy in eV/atom: -6.378
# Volume in Å³ per cell: 264.01

=====

Entry 6:
# GGA+U Mn3BrO, relaxed
data_Mn3BrO
_chemical_formula_sum 'Mn3 Br1 O1'
_space_group_name_H-M_alt 'P m -3 m'
_space_group_IT_number 221
_space_group_name_Hall '-P 4 2 3'
_cell_length_a 4.548
_cell_length_b 4.548
_cell_length_c 4.548
_cell_angle_alpha 90.00
_cell_angle_beta 90.00
_cell_angle_gamma 90.00
loop_
_atom_site_label
_atom_site_type_symbol
_atom_site_fract_x
_atom_site_fract_y
_atom_site_fract_z
Mn1 Mn 0.000 0.000 0.500
Br1 Br 0.500 0.500 0.500
O1 O 0.000 0.000 0.000
# Polymorph energy (0 for the lowest one) in kJ per mole of atoms: 0.0
# Volume in Å³ per cell: 94.08

=====

Entry 7:
# GGA+U Mn2Br3O, relaxed
data_Mn2Br3O
_chemical_formula_sum 'Mn8 Br12 O4'
_space_group_name_H-M_alt 'C 1 2/m 1'
_space_group_IT_number 12
_cell_length_a 18.904
_cell_length_b 3.593
_cell_length_c 10.607
_cell_angle_alpha 90.00
_cell_angle_beta 113.31
_cell_angle_gamma 90.00
loop_
_space_group_symop_operation_xyz
'x,y,z'
'-x,-y,-z'
'-x,y,-z'
'x,-y,z'
'x+1/2,y+1/2,z'
'-x+1/2,-y+1/2,-z'
'-x+1/2,y+1/2,-z'
'x+1/2,-y+1/2,z'
loop_
_atom_site_label
_atom_site_type_symbol
_atom_site_fract_x
_atom_site_fract_y
_atom_site_fract_z
Mn1 Mn 0.075 0.000 0.260
Mn2 Mn 0.079 0.500 0.979
Br1 Br 0.079 0.000 0.787
Br2 Br 0.130 0.500 0.450
Br3 Br 0.183 0.000 0.143
O1 O 0.037 0.500 0.129
# Calculated total energy in eV/atom: -5.168
# Volume in Å³ per cell: 661.66

=====

Entry 8:
# GGA+U Mn3OsBr2O6, relaxed
data_Mn3OsBr2O6
_chemical_formula_sum 'Mn6 Os2 Br4 O12'
_space_group_name_H-M_alt 'C 1 2/m 1'
_space_group_IT_number 12
_cell_length_a 10.307
_cell_length_b 6.216
_cell_length_c 5.872
_cell_angle_alpha 90.00
_cell_angle_beta 103.73
_cell_angle_gamma 90.00
loop_
_space_group_symop_operation_xyz
'x,y,z'
'-x,-y,-z'
'-x,y,-z'
'x,-y,z'
'x+1/2,y+1/2,z'
'-x+1/2,-y+1/2,-z'
'-x+1/2,y+1/2,-z'
'x+1/2,-y+1/2,z'
loop_
_atom_site_label
_atom_site_type_symbol
_atom_site_fract_x
_atom_site_fract_y
_atom_site_fract_z
Mn1 Mn 0.000 0.000 0.000
Mn2 Mn 0.250 0.250 0.500
Os1 Os 0.000 0.500 0.500
Br1 Br 0.211 0.000 0.846
O1 O 0.062 0.274 0.320
O2 O 0.198 0.500 0.654
# Calculated total energy in eV/atom: -6.597
# Volume in Å³ per cell: 365.43

=====

Entry 9:
# GGA+U Mn2PbBr2O2, relaxed
data_Mn2PbBr2O2
_chemical_formula_sum 'Mn4 Pb2 Br4 O4'
_space_group_name_H-M_alt 'C 1 2/m 1'
_space_group_IT_number 12
_cell_length_a 13.503
_cell_length_b 3.809
_cell_length_c 6.376
_cell_angle_alpha 90.00
_cell_angle_beta 107.41
_cell_angle_gamma 90.00
loop_
_space_group_symop_operation_xyz
'x,y,z'
'-x,-y,-z'
'-x,y,-z'
'x,-y,z'
'x+1/2,y+1/2,z'
'-x+1/2,-y+1/2,-z'
'-x+1/2,y+1/2,-z'
'x+1/2,-y+1/2,z'
loop_
_atom_site_label
_atom_site_type_symbol
_atom_site_fract_x
_atom_site_fract_y
_atom_site_fract_z
Mn1 Mn 0.200 0.000 0.314
Pb1 Pb 0.000 0.500 0.500
Br1 Br 0.123 0.000 0.867
O1 O 0.165 0.500 0.404
# Calculated total energy in eV/atom: -5.709
# Volume in Å³ per cell: 312.91

=====

Entry 10:
# GGA+U PmMnBrO2, relaxed
data_PmMnBrO2
_chemical_formula_sum 'Pm2 Mn2 Br2 O4'
_space_group_name_H-M_alt 'P 1 21/m 1'
_space_group_IT_number 11
_cell_length_a 7.500
_cell_length_b 4.158
_cell_length_c 7.709
_cell_angle_alpha 90.00
_cell_angle_beta 117.38
_cell_angle_gamma 90.00
loop_
_space_group_symop_operation_xyz
'x,y,z'
'-x,-y,-z'
'-x,y+1/2,-z'
'x,-y+1/2,z'
loop_
_atom_site_label
_atom_site_type_symbol
_atom_site_fract_x
_atom_site_fract_y
_atom_site_fract_z
Pm1 Pm 0.217 0.250 0.060
Mn1 Mn 0.327 0.750 0.438
Br1 Br 0.289 0.750 0.781
O1 O 0.126 0.750 0.123
O2 O 0.355 0.250 0.388
# Calculated total energy in eV/atom: -7.062
# Volume in Å³ per cell: 213.48

=====

Entry 11:
# GGA+U PrMnBrO2, relaxed
data_PrMnBrO2
_chemical_formula_sum 'Pr2 Mn2 Br2 O4'
_space_group_name_H-M_alt 'P 1 21/m 1'
_space_group_IT_number 11
_cell_length_a 6.727
_cell_length_b 4.214
_cell_length_c 7.948
_cell_angle_alpha 90.00
_cell_angle_beta 94.70
_cell_angle_gamma 90.00
loop_
_space_group_symop_operation_xyz
'x,y,z'
'-x,-y,-z'
'-x,y+1/2,-z'
'x,-y+1/2,z'
loop_
_atom_site_label
_atom_site_type_symbol
_atom_site_fract_x
_atom_site_fract_y
_atom_site_fract_z
Pr1 Pr 0.191 0.250 0.123
Mn1 Mn 0.059 0.250 0.636
Br1 Br 0.452 0.250 0.782
O1 O 0.040 0.750 0.116
O2 O 0.047 0.250 0.375
# Calculated total energy in eV/atom: -7.057
# Volume in Å³ per cell: 224.55

=====

Entry 12:
# GGA+U PuMn3Br2O6, relaxed
data_PuMn3Br2O6
_chemical_formula_sum 'Pu2 Mn6 Br4 O12'
_space_group_name_H-M_alt 'C 1 2/m 1'
_space_group_IT_number 12
_cell_length_a 10.879
_cell_length_b 6.324
_cell_length_c 5.774
_cell_angle_alpha 90.00
_cell_angle_beta 105.60
_cell_angle_gamma 90.00
loop_
_space_group_symop_operation_xyz
'x,y,z'
'-x,-y,-z'
'-x,y,-z'
'x,-y,z'
'x+1/2,y+1/2,z'
'-x+1/2,-y+1/2,-z'
'-x+1/2,y+1/2,-z'
'x+1/2,-y+1/2,z'
loop_
_atom_site_label
_atom_site_type_symbol
_atom_site_fract_x
_atom_site_fract_y
_atom_site_fract_z
Pu1 Pu 0.000 0.000 0.000
Mn1 Mn 0.000 0.500 0.500
Mn2 Mn 0.250 0.250 0.000
Br1 Br 0.204 0.500 0.341
O1 O 0.068 0.239 0.811
O2 O 0.205 0.000 0.153
# Calculated total energy in eV/atom: -7.420
# Volume in Å³ per cell: 382.64